<w>
A plane-wave DFT calculation with GGA-PBE was carried out for an optimized crystal structure of GaGeAu3.

Fermi-level density of states ... 3.07 states/eV per cell
V ... 19.55 Å³ per atom
Size of the total moment ... 0.00 Bohr magnetons per cell

```
data_GaGeAu3
_chemical_formula_sum 'Ga2 Ge2 Au6'
_cell_length_a 4.416
_cell_length_b 9.812
_cell_length_c 5.020
_cell_angle_alpha 90.00
_cell_angle_beta 116.00
_cell_angle_gamma 90.00
_symmetry_space_group_name_H-M 'P 1 21/m 1'
_symmetry_Int_Tables_number 11
loop_
_symmetry_equiv_pos_as_xyz
'x,y,z'
'-x,-y,-z'
'-x,y+1/2,-z'
'x,-y+1/2,z'
loop_
_atom_site_label
_atom_site_fract_x
_atom_site_fract_y
_atom_site_fract_z
Ga1 0.000 0.000 0.000
Ge1 0.155 0.250 0.318
Au1 0.171 0.750 0.337
Au2 0.346 0.035 0.691
```

***

<x>
A plane-wave DFT calculation with GGA-PBE was carried out for an optimized crystal structure of GaGeAu3.

Fermi-level density of states ... 0.72 states/eV per cell
V ... 24.12 Å³ per atom
Size of the total moment ... 0.00 Bohr magnetons per cell

```
data_GaGeAu3
_chemical_formula_sum 'Ga1 Ge1 Au3'
_cell_length_a 4.941
_cell_length_b 4.941
_cell_length_c 4.941
_cell_angle_alpha 90.00
_cell_angle_beta 90.00
_cell_angle_gamma 90.00
_symmetry_space_group_name_H-M 'P m -3 m'
_symmetry_Int_Tables_number 221
_symmetry_space_group_name_Hall '-P 4 2 3'
loop_
_atom_site_label
_atom_site_fract_x
_atom_site_fract_y
_atom_site_fract_z
Ga1 0.000 0.000 0.000
Ge1 0.500 0.500 0.500
Au1 0.000 0.500 0.500
```

***

Decreasing stability: <w>, <x>

***

<w>
A plane-wave DFT calculation with GGA-PBE was carried out for an optimized crystal structure of GaGeAu2.

Fermi-level density of states ... 10.74 states/eV per cell
V ... 19.72 Å³ per atom
Size of the total moment ... 0.00 Bohr magnetons per cell

```
data_GaGeAu2
_chemical_formula_sum 'Ga8 Ge8 Au16'
_cell_length_a 5.718
_cell_length_b 16.283
_cell_length_c 6.778
_cell_angle_alpha 90.00
_cell_angle_beta 90.00
_cell_angle_gamma 90.00
_symmetry_space_group_name_H-M 'P b c a'
_symmetry_Int_Tables_number 61
loop_
_symmetry_equiv_pos_as_xyz
'x,y,z'
'-x,-y,-z'
'-x+1/2,-y,z+1/2'
'x+1/2,y,-z+1/2'
'x+1/2,-y+1/2,-z'
'-x+1/2,y+1/2,z'
'-x,y+1/2,-z+1/2'
'x,-y+1/2,z+1/2'
loop_
_atom_site_label
_atom_site_fract_x
_atom_site_fract_y
_atom_site_fract_z
Ga1 0.235 0.187 0.092
Ge1 0.198 0.563 0.582
Au1 0.001 0.188 0.737
Au2 0.003 0.561 0.207
```

***

<x>
A plane-wave DFT calculation with GGA-PBE was carried out for an optimized crystal structure of GaGeAu2.

Fermi-level density of states ... 1.18 states/eV per cell
V ... 18.53 Å³ per atom
Size of the total moment ... 0.00 Bohr magnetons per cell

```
data_GaGeAu2
_chemical_formula_sum 'Ga1 Ge1 Au2'
_cell_length_a 4.495
_cell_length_b 4.495
_cell_length_c 3.667
_cell_angle_alpha 90.00
_cell_angle_beta 90.00
_cell_angle_gamma 90.00
_symmetry_space_group_name_H-M 'P 4/m m m'
_symmetry_Int_Tables_number 123
_symmetry_space_group_name_Hall '-P 4 2'
loop_
_atom_site_label
_atom_site_fract_x
_atom_site_fract_y
_atom_site_fract_z
Ga1 0.000 0.000 0.000
Ge1 0.500 0.500 0.000
Au1 0.000 0.500 0.500
```

***

Decreasing stability: <w>, <x>

***

<w>
A plane-wave DFT calculation with GGA-PBE was carried out for an optimized crystal structure of GaGeAu2.

Fermi-level density of states ... 4.64 states/eV per cell
V ... 20.04 Å³ per atom
Size of the total moment ... 0.00 Bohr magnetons per cell

```
data_GaGeAu2
_chemical_formula_sum 'Ga3 Ge3 Au6'
_cell_length_a 3.7791
_cell_length_b 3.7791
_cell_length_c 19.4477
_cell_angle_alpha 90.00
_cell_angle_beta 90.00
_cell_angle_gamma 120.00
_symmetry_space_group_name_H-M 'R 3 m'
_symmetry_Int_Tables_number 160
_symmetry_space_group_name_Hall 'R 3 -2"'
loop_
_atom_site_label
_atom_site_fract_x
_atom_site_fract_y
_atom_site_fract_z
Ga1 0.0000 0.0000 0.0000
Ge1 0.0000 0.0000 0.1695
Au1 0.0000 0.0000 0.5863
Au2 0.0000 0.0000 0.7489
```

***

<x>
A plane-wave DFT calculation with GGA-PBE was carried out for an optimized crystal structure of GaGeAu2.

Fermi-level density of states ... 4.79 states/eV per cell
V ... 19.04 Å³ per atom
Size of the total moment ... 0.00 Bohr magnetons per cell

```
data_GaGeAu2
_chemical_formula_sum 'Ga3 Ge3 Au6'
_cell_length_a 2.9231
_cell_length_b 2.9231
_cell_length_c 30.8786
_cell_angle_alpha 90.00
_cell_angle_beta 90.00
_cell_angle_gamma 120.00
_symmetry_space_group_name_H-M 'R -3 m'
_symmetry_Int_Tables_number 166
_symmetry_space_group_name_Hall '-R 3 2"'
loop_
_atom_site_label
_atom_site_fract_x
_atom_site_fract_y
_atom_site_fract_z
Ga1 0.0000 0.0000 0.0000
Ge1 0.0000 0.0000 0.5000
Au1 0.0000 0.0000 0.0866
```

***

Decreasing stability: <w>, <x>

***

<w>
A plane-wave DFT calculation with GGA-PBE was carried out for an optimized crystal structure of GaGeAu2.

Fermi-level density of states ... 1.47 states/eV per cell
V ... 18.55 Å³ per atom
Size of the total moment ... 0.00 Bohr magnetons per cell

```
data_GaGeAu2
_chemical_formula_sum 'Ga1 Ge1 Au2'
_cell_length_a 3.196
_cell_length_b 3.196
_cell_length_c 7.264
_cell_angle_alpha 90.00
_cell_angle_beta 90.00
_cell_angle_gamma 90.00
_symmetry_space_group_name_H-M 'P 4/m m m'
_symmetry_Int_Tables_number 123
_symmetry_space_group_name_Hall '-P 4 2'
loop_
_atom_site_label
_atom_site_fract_x
_atom_site_fract_y
_atom_site_fract_z
Ga1 0.000 0.000 0.000
Ge1 0.000 0.000 0.500
Au1 0.500 0.500 0.241
```

***

<x>
A plane-wave DFT calculation with GGA-PBE was carried out for an optimized crystal structure of GaGeAu2.

Fermi-level density of states ... 9.32 states/eV per cell
V ... 25.31 Å³ per atom
Size of the total moment ... 0.00 Bohr magnetons per cell

```
data_GaGeAu2
_chemical_formula_sum 'Ga4 Ge4 Au8'
_cell_length_a 5.899
_cell_length_b 5.899
_cell_length_c 11.635
_cell_angle_alpha 90.00
_cell_angle_beta 90.00
_cell_angle_gamma 90.00
_symmetry_space_group_name_H-M 'I -4 2 d'
_symmetry_Int_Tables_number 122
_symmetry_space_group_name_Hall 'I -4 2bw'
loop_
_atom_site_label
_atom_site_fract_x
_atom_site_fract_y
_atom_site_fract_z
Ga1 0.000 0.000 0.000
Ge1 0.000 0.000 0.500
Au1 0.242 0.250 0.625
```

***

<y>
A plane-wave DFT calculation with GGA-PBE was carried out for an optimized crystal structure of GaGeAu2.

Fermi-level density of states ... 9.69 states/eV per cell
V ... 18.57 Å³ per atom
Size of the total moment ... 0.00 Bohr magnetons per cell

```
data_GaGeAu2
_chemical_formula_sum 'Ga4 Ge4 Au8'
_cell_length_a 6.673
_cell_length_b 6.673
_cell_length_c 6.673
_cell_angle_alpha 90.00
_cell_angle_beta 90.00
_cell_angle_gamma 90.00
_symmetry_space_group_name_H-M 'F m -3 m'
_symmetry_Int_Tables_number 225
_symmetry_space_group_name_Hall '-F 4 2 3'
loop_
_atom_site_label
_atom_site_fract_x
_atom_site_fract_y
_atom_site_fract_z
Ga1 0.000 0.000 0.000
Ge1 0.000 0.000 0.500
Au1 0.250 0.250 0.250
```

***

Decreasing stability: <w>, <y>, <x>

***

<w>
A plane-wave DFT calculation with GGA-PBE was carried out for an optimized crystal structure of Ga2Ge2Au.

Fermi-level density of states ... 4.53 states/eV per cell
V ... 20.48 Å³ per atom
Size of the total moment ... 0.00 Bohr magnetons per cell

```
data_Ga2Ge2Au
_chemical_formula_sum 'Ga4 Ge4 Au2'
_cell_length_a 4.409
_cell_length_b 4.409
_cell_length_c 10.534
_cell_angle_alpha 90.00
_cell_angle_beta 90.00
_cell_angle_gamma 90.00
_symmetry_space_group_name_H-M 'I 4/m m m'
_symmetry_Int_Tables_number 139
_symmetry_space_group_name_Hall '-I 4 2'
loop_
_atom_site_label
_atom_site_fract_x
_atom_site_fract_y
_atom_site_fract_z
Ga1 0.000 0.500 0.250
Ge1 0.000 0.000 0.114
Au1 0.000 0.000 0.500
```

***

<x>
A plane-wave DFT calculation with GGA-PBE was carried out for an optimized crystal structure of Ga2Ge2Au.

Fermi-level density of states ... 3.80 states/eV per cell
V ... 19.56 Å³ per atom
Size of the total moment ... 0.00 Bohr magnetons per cell

```
data_Ga2Ge2Au
_chemical_formula_sum 'Ga4 Ge4 Au2'
_cell_length_a 6.765
_cell_length_b 6.765
_cell_length_c 4.273
_cell_angle_alpha 90.00
_cell_angle_beta 90.00
_cell_angle_gamma 90.00
_symmetry_space_group_name_H-M 'P 4/m b m'
_symmetry_Int_Tables_number 127
_symmetry_space_group_name_Hall '-P 4 2ab'
loop_
_atom_site_label
_atom_site_fract_x
_atom_site_fract_y
_atom_site_fract_z
Ga1 0.141 0.359 0.000
Ge1 0.160 0.660 0.500
Au1 0.000 0.000 0.000
```

***

Decreasing stability: <x>, <w>